InCo2Re: PBEsol geometry, SCAN.

a b c (Å): 2.736 4.338 5.207
angles (deg): 114.62 105.23 90.00
Fractional positions:
Re 0.276 0.776 0.552
Co 0.003 0.003 0.006
Co 0.728 0.228 0.455
In 0.494 0.494 0.987

Summary:
D(E_F), states/eV per cell: 2.704
Energy of formation from the pure elements, meV/atom: 398